(1)
VASP calculation (PBE-GGA) on a geometry-optimized MgVPbCl6 structure.

Properties
- E_form (uncorrected) (meV per atom) = -1371
- mass density (g/cm3) = 3.58

Unit cell a=6.4948 b=6.4948 c=12.5752 alpha=90.00 beta=90.00 gamma=120.00
Sites, in units of the cell vectors:
Mg 0.3333 0.6667 0.2500
Mg 0.6667 0.3333 0.7500
V 0.3333 0.6667 0.7500
V 0.6667 0.3333 0.2500
Pb 0.0000 0.0000 0.0000
Pb 0.0000 0.0000 0.5000
Cl 0.0048 0.3690 0.6378
Cl 0.0048 0.6358 0.8622
Cl 0.3642 0.3690 0.8622
Cl 0.3642 0.9952 0.6378
Cl 0.3690 0.0048 0.1378
Cl 0.3690 0.3642 0.3622
Cl 0.6310 0.6358 0.6378
Cl 0.6310 0.9952 0.8622
Cl 0.6358 0.0048 0.3622
Cl 0.6358 0.6310 0.1378
Cl 0.9952 0.3642 0.1378
Cl 0.9952 0.6310 0.3622



(2)
VASP calculation (PBE-GGA) on a geometry-optimized Mg2ZnPbCl structure.

Properties
- E_form (uncorrected) (meV per atom) = 228
- mass density (g/cm3) = 4.17

Unit cell a=4.9799 b=4.9799 c=5.7329 alpha=90.00 beta=90.00 gamma=90.00
Sites, in units of the cell vectors:
Mg 0.0000 0.5000 0.0000
Mg 0.5000 0.0000 0.0000
Zn 0.0000 0.0000 0.5000
Pb 0.5000 0.5000 0.5000
Cl 0.5000 0.5000 0.0000